No. 1
{
  "formula": "Th4Zn5Pd2",
  "functional": "PBE-GGA",
  "state": "optimized geometry",
  "lattice": [[7.1851, 0.0000, 0.0000], [0.0000, 3.8093, 0.0000], [-0.5707, 0.0000, 9.2720]],
  "species": ["Th", "Th", "Th", "Th", "Zn", "Zn", "Zn", "Zn", "Zn", "Pd", "Pd"],
  "frac_coords": [[0.1776, 0.0000, 0.3753], [0.2580, 0.0000, 0.9402], [0.7420, 0.0000, 0.0598], [0.8224, 0.0000, 0.6247], [0.2033, 0.5000, 0.6555], [0.4504, 0.5000, 0.2020], [0.5000, 0.5000, 0.5000], [0.5496, 0.5000, 0.7980], [0.7967, 0.5000, 0.3445], [0.0694, 0.5000, 0.1451], [0.9306, 0.5000, 0.8549]],
  "dft_energy_ev_per_atom": -4.571,
  "dos_ef_per_ev_cell": 10.8,
  "vol_a3_per_cell": 254,
  "magmom_total_mub_per_fu": 0.00,
  "crystal_system": "monoclinic"
}

No. 2
{
  "formula": "Th3Zn2Pd3",
  "functional": "PBE-GGA",
  "state": "optimized geometry",
  "lattice": [[2.2085, -5.7055, 0.0000], [2.2085, 5.7055, 0.0000], [0.0000, 0.0000, 14.0020]],
  "species": ["Th", "Th", "Th", "Th", "Th", "Th", "Zn", "Zn", "Zn", "Zn", "Pd", "Pd", "Pd", "Pd", "Pd", "Pd"],
  "frac_coords": [[0.0738, 0.9262, 0.6111], [0.0738, 0.9262, 0.8889], [0.3522, 0.6478, 0.7500], [0.6478, 0.3522, 0.2500], [0.9262, 0.0738, 0.1111], [0.9262, 0.0738, 0.3889], [0.2202, 0.7798, 0.0860], [0.2202, 0.7798, 0.4140], [0.7798, 0.2202, 0.5860], [0.7798, 0.2202, 0.9140], [0.3478, 0.6522, 0.2500], [0.3924, 0.6076, 0.5466], [0.3924, 0.6076, 0.9534], [0.6076, 0.3924, 0.0466], [0.6076, 0.3924, 0.4534], [0.6522, 0.3478, 0.7500]],
  "dft_energy_ev_per_atom": -5.684,
  "dos_ef_per_ev_cell": 14.6,
  "vol_a3_per_cell": 353,
  "magmom_total_mub_per_fu": 0.00,
  "crystal_system": "orthorhombic"
}

Copy entry 2 word for word.
{
  "formula": "Th3Zn2Pd3",
  "functional": "PBE-GGA",
  "state": "optimized geometry",
  "lattice": [[2.2085, -5.7055, 0.0000], [2.2085, 5.7055, 0.0000], [0.0000, 0.0000, 14.0020]],
  "species": ["Th", "Th", "Th", "Th", "Th", "Th", "Zn", "Zn", "Zn", "Zn", "Pd", "Pd", "Pd", "Pd", "Pd", "Pd"],
  "frac_coords": [[0.0738, 0.9262, 0.6111], [0.0738, 0.9262, 0.8889], [0.3522, 0.6478, 0.7500], [0.6478, 0.3522, 0.2500], [0.9262, 0.0738, 0.1111], [0.9262, 0.0738, 0.3889], [0.2202, 0.7798, 0.0860], [0.2202, 0.7798, 0.4140], [0.7798, 0.2202, 0.5860], [0.7798, 0.2202, 0.9140], [0.3478, 0.6522, 0.2500], [0.3924, 0.6076, 0.5466], [0.3924, 0.6076, 0.9534], [0.6076, 0.3924, 0.0466], [0.6076, 0.3924, 0.4534], [0.6522, 0.3478, 0.7500]],
  "dft_energy_ev_per_atom": -5.684,
  "dos_ef_per_ev_cell": 14.6,
  "vol_a3_per_cell": 353,
  "magmom_total_mub_per_fu": 0.00,
  "crystal_system": "orthorhombic"
}